This record from Alexandria via LeMat-Bulk describes a relaxed CsMn3Fe crystal. The functional is PBE.

- magnetization (μB/f.u.) = 0.17
- E_tot (eV/cell) = -19.5
- calculated formation energy (eV per atom) = 3.464
- density of states at the Fermi level (states/eV/f.u.) = 14.77
- ρ (g/cm³) = 6.201

Unit cell a=4.558 b=4.558 c=4.558 alpha=90.00 beta=90.00 gamma=90.00
Space group Pm-3m (No. 221)
Asymmetric unit:
Cs1 0.000 0.000 0.000 (multiplicity 1)
Mn1 0.000 0.000 0.500 (multiplicity 3)
Fe1 0.500 0.500 0.500 (multiplicity 1)